Material: Li4V5Fe3O16
Method: DFT, GGA+U
State: relaxed

Calculated values
- Total moment: 9.00 μB/f.u.
- E: -6.830 eV/atom

Structure (POSCAR):
```
Li4V5Fe3O16
1.0
-3.357 4.459 1.547
-2.254 0.157 5.439
7.526 4.877 3.136
Li V Fe O
4 5 3 16
Direct
0.660 0.670 0.896
0.003 0.995 0.995
0.997 0.009 0.495
0.330 0.331 0.393
0.170 0.180 0.719
0.668 0.669 0.490
0.347 0.821 0.220
0.337 0.332 0.990
0.166 0.660 0.712
0.831 0.337 0.212
0.828 0.831 0.212
0.660 0.170 0.712
0.836 0.335 0.597
0.953 0.530 0.343
0.654 0.676 0.104
0.008 0.991 0.306
0.998 0.012 0.807
0.834 0.836 0.600
0.510 0.526 0.346
0.518 0.961 0.340
0.671 0.162 0.100
0.344 0.829 0.595
0.480 0.039 0.841
0.482 0.471 0.843
0.335 0.318 0.602
0.179 0.167 0.093
0.034 0.476 0.845
0.169 0.667 0.099
```